Record 1
Material: LaPr2SmMg
Method: DFT, PBE
State: optimized geometry

Output
- uncorrected energy (eV for the cell shown) = -40.270
- energy relative to the elements (eV/f.u.) = 0.7
- space group = No. 51

abc: 6.190 7.861 6.990
angles: 90.00 90.00 90.00
Positions (direct):
La: 0.250 0.000 0.091
La: 0.750 0.000 0.909
Pr: 0.250 0.287 0.792
Pr: 0.250 0.713 0.792
Pr: 0.750 0.287 0.208
Pr: 0.750 0.713 0.208
Sm: 0.250 0.500 0.334
Sm: 0.750 0.500 0.666
Mg: 0.000 0.000 0.500
Mg: 0.500 0.000 0.500



Record 2
Material: La2PrSm6Mg
Method: DFT, PBE
State: optimized geometry

Output
- uncorrected energy (eV for the cell shown) = -87.018
- energy relative to the elements (eV/f.u.) = 1.0
- space group = No. 15

abc: 8.749 8.749 9.906
angles: 95.24 95.24 115.43
Positions (direct):
La: 0.205 0.295 0.052
La: 0.295 0.205 0.552
La: 0.705 0.795 0.448
La: 0.795 0.705 0.948
Pr: 0.009 0.991 0.250
Pr: 0.991 0.009 0.750
Sm: 0.006 0.574 0.191
Sm: 0.116 0.738 0.553
Sm: 0.262 0.884 0.947
Sm: 0.307 0.512 0.389
Sm: 0.426 0.994 0.309
Sm: 0.488 0.693 0.111
Sm: 0.512 0.307 0.889
Sm: 0.574 0.006 0.691
Sm: 0.693 0.488 0.611
Sm: 0.738 0.116 0.053
Sm: 0.884 0.262 0.447
Sm: 0.994 0.426 0.809
Mg: 0.402 0.598 0.750
Mg: 0.598 0.402 0.250



Record 3
Material: La2Pr2Sm2Mg
Method: DFT, PBE
State: optimized geometry

Output
- uncorrected energy (eV for the cell shown) = -29.944
- energy relative to the elements (eV/f.u.) = 0.5
- space group = No. 12

abc: 6.215 6.215 12.073
angles: 109.77 109.77 33.33
Positions (direct):
La: 0.234 0.234 0.361
La: 0.766 0.766 0.639
Pr: 0.448 0.448 0.235
Pr: 0.552 0.552 0.765
Sm: 0.333 0.333 0.920
Sm: 0.667 0.667 0.080
Mg: 0.000 0.000 0.500



Record 4
Material: La2Pr6SmMg
Method: DFT, PBE
State: optimized geometry

Output
- uncorrected energy (eV for the cell shown) = -87.760
- energy relative to the elements (eV/f.u.) = 1.0
- space group = No. 15

abc: 8.761 8.761 9.646
angles: 96.16 96.16 104.83
Positions (direct):
La: 0.203 0.266 0.093
La: 0.266 0.203 0.593
La: 0.734 0.797 0.407
La: 0.797 0.734 0.907
Pr: 0.034 0.465 0.826
Pr: 0.079 0.736 0.577
Pr: 0.264 0.921 0.923
Pr: 0.330 0.570 0.405
Pr: 0.430 0.670 0.095
Pr: 0.465 0.034 0.326
Pr: 0.535 0.966 0.674
Pr: 0.570 0.330 0.905
Pr: 0.670 0.430 0.595
Pr: 0.736 0.079 0.077
Pr: 0.921 0.264 0.423
Pr: 0.966 0.535 0.174
Sm: 0.070 0.930 0.250
Sm: 0.930 0.070 0.750
Mg: 0.400 0.600 0.750
Mg: 0.600 0.400 0.250



Record 5
Material: LaPrSmMg
Method: DFT, PBE
State: optimized geometry

Output
- uncorrected energy (eV for the cell shown) = -15.900
- energy relative to the elements (eV/f.u.) = 0.1
- space group = No. 216

abc: 5.707 5.707 5.707
angles: 60.00 60.00 60.00
Positions (direct):
La: 0.000 0.000 0.000
Pr: 0.500 0.500 0.500
Sm: 0.750 0.750 0.750
Mg: 0.250 0.250 0.250



Record 6
Material: LaPr4Sm2Mg
Method: DFT, PBE
State: optimized geometry

Output
- uncorrected energy (eV for the cell shown) = -34.517
- energy relative to the elements (eV/f.u.) = 0.6
- space group = No. 123

abc: 5.978 5.978 7.611
angles: 90.00 90.00 90.00
Positions (direct):
La: 0.000 0.000 0.000
Pr: 0.000 0.500 0.239
Pr: 0.000 0.500 0.761
Pr: 0.500 0.000 0.239
Pr: 0.500 0.000 0.761
Sm: 0.000 0.000 0.500
Sm: 0.500 0.500 0.500
Mg: 0.500 0.500 0.000



Record 7
Material: LaPrSmMg
Method: DFT, PBE
State: optimized geometry

Output
- uncorrected energy (eV for the cell shown) = -16.182
- energy relative to the elements (eV/f.u.) = -0.2
- space group = No. 99

abc: 3.800 3.800 9.045
angles: 90.00 90.00 90.00
Positions (direct):
La: 0.000 0.000 0.000
Pr: 0.500 0.500 0.281
Sm: 0.500 0.500 0.727
Mg: 0.000 0.000 0.509



Record 8
Material: LaPr6Sm2Mg
Method: DFT, PBE
State: optimized geometry

Output
- uncorrected energy (eV for the cell shown) = -87.393
- energy relative to the elements (eV/f.u.) = 0.9
- space group = No. 15

abc: 8.732 8.732 9.686
angles: 96.57 96.57 105.97
Positions (direct):
La: 0.066 0.934 0.750
La: 0.934 0.066 0.250
Pr: 0.031 0.461 0.329
Pr: 0.080 0.733 0.076
Pr: 0.267 0.920 0.424
Pr: 0.330 0.564 0.904
Pr: 0.436 0.670 0.596
Pr: 0.461 0.031 0.829
Pr: 0.539 0.969 0.171
Pr: 0.564 0.330 0.404
Pr: 0.670 0.436 0.096
Pr: 0.733 0.080 0.576
Pr: 0.920 0.267 0.924
Pr: 0.969 0.539 0.671
Sm: 0.204 0.268 0.594
Sm: 0.268 0.204 0.094
Sm: 0.732 0.796 0.906
Sm: 0.796 0.732 0.406
Mg: 0.400 0.600 0.250
Mg: 0.600 0.400 0.750



Record 9
Material: La6Pr2SmMg
Method: DFT, PBE
State: optimized geometry

Output
- uncorrected energy (eV for the cell shown) = -89.265
- energy relative to the elements (eV/f.u.) = 0.8
- space group = No. 15

abc: 8.782 8.782 9.595
angles: 95.47 95.47 104.59
Positions (direct):
La: 0.042 0.466 0.674
La: 0.066 0.824 0.902
La: 0.176 0.934 0.598
La: 0.241 0.580 0.081
La: 0.420 0.759 0.419
La: 0.466 0.042 0.174
La: 0.534 0.958 0.826
La: 0.580 0.241 0.581
La: 0.759 0.420 0.919
La: 0.824 0.066 0.402
La: 0.934 0.176 0.098
La: 0.958 0.534 0.326
Pr: 0.235 0.299 0.407
Pr: 0.299 0.235 0.907
Pr: 0.701 0.765 0.093
Pr: 0.765 0.701 0.593
Sm: 0.429 0.571 0.750
Sm: 0.571 0.429 0.250
Mg: 0.097 0.903 0.250
Mg: 0.903 0.097 0.750



Record 10
Material: La2Pr2SmMg
Method: DFT, PBE
State: optimized geometry

Output
- uncorrected energy (eV for the cell shown) = -49.580
- energy relative to the elements (eV/f.u.) = 0.9
- space group = No. 72

abc: 10.280 10.280 10.280
angles: 140.18 55.49 142.98
Positions (direct):
La: 0.151 0.163 0.314
La: 0.349 0.663 0.012
La: 0.651 0.337 0.988
La: 0.849 0.837 0.686
Pr: 0.152 0.651 0.802
Pr: 0.348 0.151 0.499
Pr: 0.652 0.849 0.501
Pr: 0.848 0.349 0.198
Sm: 0.250 0.250 0.000
Sm: 0.750 0.750 0.000
Mg: 0.250 0.750 0.500
Mg: 0.750 0.250 0.500



Record 11
Material: La5Pr2SmMg
Method: DFT, PBE
State: optimized geometry

Output
- uncorrected energy (eV for the cell shown) = -79.742
- energy relative to the elements (eV/f.u.) = 0.6
- space group = No. 36

abc: 10.556 10.556 11.116
angles: 90.00 90.00 148.67
Positions (direct):
La: 0.000 0.000 0.000
La: 0.000 0.000 0.500
La: 0.121 0.879 0.751
La: 0.212 0.788 0.450
La: 0.214 0.786 0.053
La: 0.489 0.511 0.751
La: 0.511 0.489 0.251
La: 0.786 0.214 0.553
La: 0.788 0.212 0.950
La: 0.879 0.121 0.251
Pr: 0.383 0.617 0.461
Pr: 0.384 0.616 0.041
Pr: 0.616 0.384 0.541
Pr: 0.617 0.383 0.961
Sm: 0.307 0.693 0.752
Sm: 0.693 0.307 0.252
Mg: 0.094 0.906 0.250
Mg: 0.906 0.094 0.750



Record 12
Material: La2Pr2SmMg5
Method: DFT, PBE
State: optimized geometry

Output
- uncorrected energy (eV for the cell shown) = -64.190
- energy relative to the elements (eV/f.u.) = 0.0
- space group = No. 127

abc: 10.794 10.794 5.224
angles: 90.00 90.00 90.00
Positions (direct):
La: 0.174 0.326 0.000
La: 0.326 0.826 0.000
La: 0.674 0.174 0.000
La: 0.826 0.674 0.000
Pr: 0.124 0.624 0.000
Pr: 0.376 0.124 0.000
Pr: 0.624 0.876 0.000
Pr: 0.876 0.376 0.000
Sm: 0.000 0.000 0.000
Sm: 0.500 0.500 0.000
Mg: 0.000 0.500 0.500
Mg: 0.074 0.806 0.500
Mg: 0.194 0.074 0.500
Mg: 0.306 0.574 0.500
Mg: 0.426 0.306 0.500
Mg: 0.500 0.000 0.500
Mg: 0.574 0.694 0.500
Mg: 0.694 0.426 0.500
Mg: 0.806 0.926 0.500
Mg: 0.926 0.194 0.500



Record 13
Material: LaPrSm2Mg
Method: DFT, PBE
State: optimized geometry

Output
- uncorrected energy (eV for the cell shown) = -41.264
- energy relative to the elements (eV/f.u.) = 0.1
- space group = No. 12

abc: 6.253 6.253 11.430
angles: 90.27 90.27 47.28
Positions (direct):
La: 0.046 0.046 0.347
La: 0.954 0.954 0.653
Pr: 0.253 0.253 0.758
Pr: 0.747 0.747 0.242
Sm: 0.146 0.146 0.046
Sm: 0.346 0.346 0.448
Sm: 0.654 0.654 0.552
Sm: 0.854 0.854 0.954
Mg: 0.446 0.446 0.138
Mg: 0.554 0.554 0.862



Record 14
Material: La2PrMg2Sn2
Method: DFT, PBE
State: optimized geometry

Output
- uncorrected energy (eV for the cell shown) = -28.664
- energy relative to the elements (eV/f.u.) = -2.8
- space group = No. 166

abc: 9.766 9.766 9.766
angles: 29.77 29.77 29.77
Positions (direct):
La: 0.132 0.132 0.132
La: 0.868 0.868 0.868
Pr: 0.000 0.000 0.000
Mg: 0.403 0.403 0.403
Mg: 0.597 0.597 0.597
Sn: 0.265 0.265 0.265
Sn: 0.735 0.735 0.735



Record 15
Material: LaPrMgSn
Method: DFT, PBE
State: optimized geometry

Output
- uncorrected energy (eV for the cell shown) = -17.124
- energy relative to the elements (eV/f.u.) = -1.8
- space group = No. 216

abc: 5.524 5.524 5.524
angles: 60.00 60.00 60.00
Positions (direct):
La: 0.000 0.000 0.000
Pr: 0.500 0.500 0.500
Mg: 0.250 0.250 0.250
Sn: 0.750 0.750 0.750



Record 16
Material: LaPr2Mg2Sn2
Method: DFT, PBE
State: optimized geometry

Output
- uncorrected energy (eV for the cell shown) = -28.476
- energy relative to the elements (eV/f.u.) = -2.8
- space group = No. 166

abc: 9.714 9.714 9.714
angles: 30.09 30.09 30.09
Positions (direct):
La: 0.000 0.000 0.000
Pr: 0.131 0.131 0.131
Pr: 0.869 0.869 0.869
Mg: 0.406 0.406 0.406
Mg: 0.594 0.594 0.594
Sn: 0.264 0.264 0.264
Sn: 0.736 0.736 0.736



Record 17
Material: LaTb2Pr4Mg
Method: DFT, PBE
State: optimized geometry

Output
- uncorrected energy (eV for the cell shown) = -34.377
- energy relative to the elements (eV/f.u.) = 0.5
- space group = No. 123

abc: 5.950 5.950 7.603
angles: 90.00 90.00 90.00
Positions (direct):
La: 0.000 0.000 0.000
Tb: 0.000 0.000 0.500
Tb: 0.500 0.500 0.500
Pr: 0.000 0.500 0.244
Pr: 0.000 0.500 0.756
Pr: 0.500 0.000 0.244
Pr: 0.500 0.000 0.756
Mg: 0.500 0.500 0.000



Record 18
Material: La2Tb2Pr4Mg
Method: DFT, PBE
State: optimized geometry

Output
- uncorrected energy (eV for the cell shown) = -39.107
- energy relative to the elements (eV/f.u.) = 0.7
- space group = No. 2

abc: 6.612 6.682 7.616
angles: 74.95 75.98 85.49
Positions (direct):
La: 0.186 0.128 0.285
La: 0.814 0.872 0.715
Tb: 0.370 0.700 0.605
Tb: 0.630 0.300 0.395
Pr: 0.214 0.164 0.800
Pr: 0.324 0.670 0.100
Pr: 0.676 0.330 0.900
Pr: 0.786 0.836 0.200
Mg: 0.000 0.500 0.500



Record 19
Material: LaTbPrMg
Method: DFT, PBE
State: optimized geometry

Output
- uncorrected energy (eV for the cell shown) = -15.868
- energy relative to the elements (eV/f.u.) = 0.1
- space group = No. 216

abc: 5.678 5.678 5.678
angles: 60.00 60.00 60.00
Positions (direct):
La: 0.000 0.000 0.000
Tb: 0.750 0.750 0.750
Pr: 0.500 0.500 0.500
Mg: 0.250 0.250 0.250



Record 20
Material: La2TbPrMg
Method: DFT, PBE
State: optimized geometry

Output
- uncorrected energy (eV for the cell shown) = -41.591
- energy relative to the elements (eV/f.u.) = 0.1
- space group = No. 11

abc: 6.811 5.690 8.891
angles: 90.00 103.04 90.00
Positions (direct):
La: 0.046 0.250 0.357
La: 0.119 0.750 0.070
La: 0.881 0.250 0.930
La: 0.954 0.750 0.643
Tb: 0.379 0.750 0.441
Tb: 0.621 0.250 0.559
Pr: 0.465 0.250 0.150
Pr: 0.535 0.750 0.850
Mg: 0.262 0.250 0.747
Mg: 0.738 0.750 0.253



Record 21
Material: La6Tb3Pr2Mg
Method: DFT, PBE
State: optimized geometry

Output
- uncorrected energy (eV for the cell shown) = -54.530
- energy relative to the elements (eV/f.u.) = 0.1
- space group = No. 12

abc: 6.342 6.342 12.027
angles: 95.05 95.05 120.02
Positions (direct):
La: 0.083 0.413 0.752
La: 0.247 0.247 0.248
La: 0.413 0.083 0.752
La: 0.587 0.917 0.248
La: 0.753 0.753 0.752
La: 0.917 0.587 0.248
Tb: 0.166 0.834 0.000
Tb: 0.500 0.500 0.000
Tb: 0.834 0.166 0.000
Pr: 0.333 0.667 0.500
Pr: 0.667 0.333 0.500
Mg: 0.000 0.000 0.500